# TmSc2Ni

Crystalline TmSc2Ni at its relaxed geometry (PBE, Alexandria via LeMat-Bulk).

Cell: 3.2426 3.2426 8.2164 Å, 90.00 90.00 90.00°
Positions (direct):
Ni (0.5000, 0.5000, 0.0000)
Tm (0.5000, 0.5000, 0.5000)
Sc (0.0000, 0.0000, 0.1850)
Sc (0.0000, 0.0000, 0.8150)

Calculated values
Energy above the most stable polymorph in this dataset (eV/f.u.): 0.313
ΔH_f (0 K) (eV/atom): -0.194
Size of the total moment (μB per atom): 0.001
Calculated total energy (eV/f.u.): -23.7
V (Å³ per atom): 21.60